1.
Computed, not measured: an optimized crystal structure of Pu2PtC at the PBE-GGA level of DFT.

a b c (Å): 3.096 3.096 7.209
angles (deg): 90.00 90.00 90.00
Positions (direct):
1 C 0.500 0.500 0.000
2 Pt 0.500 0.500 0.500
3 Pu 0.000 0.000 0.806
4 Pu 0.000 0.000 0.194

Output
Calculated volume, Å³/f.u.: 69.09
Fermi-level density of states, states/eV/cell: 9.735


2.
Computed, not measured: an optimized crystal structure of Pu2PtC at the PBE-GGA level of DFT.

a b c (Å): 3.965 3.965 5.431
angles (deg): 68.59 68.59 60.00
Positions (direct):
1 C 0.500 0.500 0.500
2 Pt 0.000 0.000 0.000
3 Pu 0.797 0.797 0.608
4 Pu 0.203 0.203 0.392

Output
Calculated volume, Å³/f.u.: 67.06
Fermi-level density of states, states/eV/cell: 6.560


Which of them is most stable? Easy: 1.


1.
Computed, not measured: an optimized crystal structure of RePtC2 at the PBE-GGA level of DFT.

a b c (Å): 4.703 4.703 5.750
angles (deg): 65.86 65.86 90.00
Positions (direct):
1 Re 0.500 0.500 0.000
2 Re 0.250 0.750 0.500
3 C 0.602 0.125 0.250
4 C 0.148 0.625 0.250
5 C 0.375 0.398 0.750
6 C 0.875 0.852 0.750
7 Pt 0.000 0.000 0.000
8 Pt 0.750 0.250 0.500

Output
Calculated volume, Å³/f.u.: 51.89
Fermi-level density of states, states/eV/cell: 6.540


2.
Computed, not measured: an optimized crystal structure of RePtC2 at the PBE-GGA level of DFT.

a b c (Å): 3.887 3.887 3.887
angles (deg): 60.00 60.00 60.00
Positions (direct):
1 Re 0.000 0.000 0.000
2 C 0.250 0.250 0.250
3 C 0.750 0.750 0.750
4 Pt 0.500 0.500 0.500

Output
Calculated volume, Å³/f.u.: 41.52
Fermi-level density of states, states/eV/cell: 1.293


Which of them is most stable? Easy: 1.


1.
Computed, not measured: an optimized crystal structure of Re2Pt2C at the PBE-GGA level of DFT.

a b c (Å): 5.501 5.501 4.721
angles (deg): 90.00 90.00 90.00
Positions (direct):
1 Re 0.335 0.835 0.000
2 Re 0.835 0.665 0.000
3 Re 0.665 0.165 0.000
4 Re 0.165 0.335 0.000
5 C 0.000 0.000 0.000
6 C 0.500 0.500 0.000
7 Pt 0.176 0.676 0.500
8 Pt 0.676 0.824 0.500
9 Pt 0.824 0.324 0.500
10 Pt 0.324 0.176 0.500

Output
Calculated volume, Å³/f.u.: 71.42
Fermi-level density of states, states/eV/cell: 10.900


2.
Computed, not measured: an optimized crystal structure of Re2Pt2C at the PBE-GGA level of DFT.

a b c (Å): 3.528 3.528 6.878
angles (deg): 75.14 75.14 90.00
Positions (direct):
1 Re 0.406 0.406 0.188
2 Re 0.594 0.594 0.812
3 C 0.000 0.000 0.000
4 Pt 0.750 0.250 0.500
5 Pt 0.250 0.750 0.500

Output
Calculated volume, Å³/f.u.: 79.79
Fermi-level density of states, states/eV/cell: 4.967


Which of them is most stable? Easy: 1.


1.
Computed, not measured: an optimized crystal structure of Pt3RhC at the PBE-GGA level of DFT.

a b c (Å): 4.158 4.158 4.158
angles (deg): 90.00 90.00 90.00
Positions (direct):
1 C 0.000 0.000 0.000
2 Rh 0.500 0.500 0.500
3 Pt 0.000 0.500 0.000
4 Pt 0.000 0.000 0.500
5 Pt 0.500 0.000 0.000

Output
Calculated volume, Å³/f.u.: 71.88
Fermi-level density of states, states/eV/cell: 8.358


2.
Computed, not measured: an optimized crystal structure of Pt3RhC at the PBE-GGA level of DFT.

a b c (Å): 4.820 4.820 4.820
angles (deg): 90.00 90.00 90.00
Positions (direct):
1 C 0.500 0.500 0.500
2 Rh 0.000 0.000 0.000
3 Pt 0.000 0.500 0.000
4 Pt 0.000 0.000 0.500
5 Pt 0.500 0.000 0.000

Output
Calculated volume, Å³/f.u.: 111.99
Fermi-level density of states, states/eV/cell: 7.545


Which of them is most stable? Easy: 1.


1.
Computed, not measured: an optimized crystal structure of Ru3PtC at the PBE-GGA level of DFT.

a b c (Å): 4.036 4.036 4.036
angles (deg): 90.00 90.00 90.00
Positions (direct):
1 Ru 0.000 0.500 0.000
2 Ru 0.000 0.000 0.500
3 Ru 0.500 0.000 0.000
4 C 0.000 0.000 0.000
5 Pt 0.500 0.500 0.500

Output
Calculated volume, Å³/f.u.: 65.76
Fermi-level density of states, states/eV/cell: 3.159


2.
Computed, not measured: an optimized crystal structure of Ru3PtC at the PBE-GGA level of DFT.

a b c (Å): 4.809 4.809 4.809
angles (deg): 90.00 90.00 90.00
Positions (direct):
1 Ru 0.000 0.500 0.000
2 Ru 0.000 0.000 0.500
3 Ru 0.500 0.000 0.000
4 C 0.500 0.500 0.500
5 Pt 0.000 0.000 0.000

Output
Calculated volume, Å³/f.u.: 111.24
Fermi-level density of states, states/eV/cell: 8.484


Which of them is most stable? Easy: 1.


1.
Computed, not measured: an optimized crystal structure of Ru2PtC2 at the PBE-GGA level of DFT.

a b c (Å): 6.317 6.317 2.745
angles (deg): 90.00 90.00 90.00
Positions (direct):
1 Ru 0.152 0.652 0.500
2 Ru 0.652 0.848 0.500
3 Ru 0.848 0.348 0.500
4 Ru 0.348 0.152 0.500
5 C 0.334 0.834 0.000
6 C 0.834 0.666 0.000
7 C 0.666 0.166 0.000
8 C 0.166 0.334 0.000
9 Pt 0.000 0.000 0.000
10 Pt 0.500 0.500 0.000

Output
Calculated volume, Å³/f.u.: 54.77
Fermi-level density of states, states/eV/cell: 8.117


2.
Computed, not measured: an optimized crystal structure of Ru2PtC2 at the PBE-GGA level of DFT.

a b c (Å): 3.817 3.817 4.675
angles (deg): 65.91 65.91 90.00
Positions (direct):
1 Ru 0.750 0.250 0.500
2 Ru 0.250 0.750 0.500
3 C 0.399 0.399 0.203
4 C 0.601 0.601 0.797
5 Pt 0.000 0.000 0.000

Output
Calculated volume, Å³/f.u.: 55.61
Fermi-level density of states, states/eV/cell: 2.462


3.
Computed, not measured: an optimized crystal structure of Ru2PtC2 at the PBE-GGA level of DFT.

a b c (Å): 3.323 3.323 5.835
angles (deg): 73.45 73.45 90.00
Positions (direct):
1 Ru 0.362 0.362 0.276
2 Ru 0.638 0.638 0.724
3 C 0.750 0.250 0.500
4 C 0.250 0.750 0.500
5 Pt 0.000 0.000 0.000

Output
Calculated volume, Å³/f.u.: 58.99
Fermi-level density of states, states/eV/cell: 3.822


Which of them is most stable? Easy: 2.